VASP calculation (PBE-GGA) on a relaxed ZrSi2 crystal.

a = 7.0762 Å, b = 7.0762 Å, c = 5.4533 Å
α = 90.00°, β = 90.00°, γ = 156.82°
With the nearest neighbours (Å) after each atom.
Atoms (fractional coordinates):
Zr1 0.3036 0.6964 0.7500  6 Si 2.77-2.87, 2 Zr 2.84
Zr2 0.6964 0.3036 0.2500  6 Si 2.77-2.87, 2 Zr 2.84
Si1 0.6319 0.3681 0.7500  2 Si 2.51, 2 Zr 2.77
Si2 0.9827 0.0173 0.7500  4 Si 2.51-2.77
Si3 0.0173 0.9827 0.2500  4 Si 2.51-2.77
Si4 0.3681 0.6319 0.2500  2 Si 2.51, 2 Zr 2.77

The uncorrected formation energy comes out at 0.02 eV/atom. Its space-group type is Cmcm. The value obtained for the volume is 17.92 Å³/atom. Its total energy is -6.449 eV per atom.

=====

VASP calculation (PBE-GGA) on a relaxed Zr4Si crystal.

a = 5.3952 Å, b = 5.3952 Å, c = 5.3952 Å
α = 109.47°, β = 109.47°, γ = 109.47°
With the nearest neighbours (Å) after each atom.
Atoms (fractional coordinates):
Zr1 0.5000 0.0000 0.0000  2 Si 2.70
Zr2 0.5000 0.5000 0.5000  2 Si 2.70
Zr3 0.0000 0.5000 0.0000  2 Si 2.70
Zr4 0.0000 0.0000 0.5000  2 Si 2.70
Si1 0.0000 0.0000 0.0000  8 Zr 2.70

The uncorrected formation energy comes out at 0.28 eV/atom. Its space-group type is Im-3m. The value obtained for the volume is 24.18 Å³/atom. Its total energy is -7.646 eV per atom. The energy above the most stable polymorph in this dataset comes out at 48.16 kJ per mole of atoms.

=====

VASP calculation (PBE-GGA) on a relaxed Zr3Si2 crystal.

a = 3.7082 Å, b = 7.1193 Å, c = 7.1193 Å
α = 90.00°, β = 90.00°, γ = 90.00°
With the nearest neighbours (Å) after each atom.
Atoms (fractional coordinates):
Si1 0.0000 0.6223 0.1223  1 Si 2.46
Si2 0.0000 0.8777 0.6223  1 Si 2.46
Si3 0.0000 0.1223 0.3777  1 Si 2.46
Si4 0.0000 0.3777 0.8777  1 Si 2.46
Zr1 0.5000 0.6742 0.8258  6 Si 2.76-2.83
Zr2 0.5000 0.8258 0.3258  6 Si 2.76-2.83
Zr3 0.5000 0.3258 0.1742  6 Si 2.76-2.83
Zr4 0.5000 0.1742 0.6742  6 Si 2.76-2.83
Zr5 0.0000 0.5000 0.5000  4 Si 2.83
Zr6 0.0000 0.0000 0.0000  4 Si 2.83

The uncorrected formation energy comes out at -0.88 eV/atom. Its space-group type is P4/mbm. The value obtained for the volume is 18.79 Å³/atom. Its total energy is -8.182 eV per atom.

=====

VASP calculation (PBE-GGA) on a relaxed ZrSi2 crystal.

a = 4.5982 Å, b = 4.5982 Å, c = 2.9733 Å
α = 90.00°, β = 90.00°, γ = 90.00°
With the nearest neighbours (Å) after each atom.
Atoms (fractional coordinates):
Si1 0.0000 0.5000 0.5000  4 Zr 2.74, 2 Si 2.97
Si2 0.5000 0.0000 0.5000  4 Zr 2.74, 2 Si 2.97
Zr1 0.0000 0.0000 0.0000  8 Si 2.74, 2 Zr 2.97

The uncorrected formation energy comes out at 0.00 eV/atom. Its space-group type is P4/mmm. The value obtained for the volume is 20.96 Å³/atom. Its total energy is -6.464 eV per atom.

=====

VASP calculation (PBE-GGA) on a relaxed ZrSi2 crystal.

a = 5.0952 Å, b = 5.0952 Å, c = 5.0952 Å
α = 60.00°, β = 60.00°, γ = 60.00°
With the nearest neighbours (Å) after each atom.
Atoms (fractional coordinates):
Zr1 0.5000 0.5000 0.5000  12 Si 2.99, 4 Zr 3.12
Zr2 0.7500 0.7500 0.7500  12 Si 2.99, 4 Zr 3.12
Si1 0.6250 0.1250 0.1250  6 Si 2.55
Si2 0.1250 0.6250 0.1250  6 Si 2.55
Si3 0.1250 0.1250 0.6250  6 Si 2.55
Si4 0.1250 0.1250 0.1250  6 Si 2.55

The uncorrected formation energy comes out at -0.24 eV/atom. Its space-group type is Fd-3m. The value obtained for the volume is 15.59 Å³/atom. Its total energy is -6.705 eV per atom.

=====

VASP calculation (PBE-GGA) on a relaxed Zr4Si5 crystal.

a = 8.2889 Å, b = 8.2889 Å, c = 5.4408 Å
α = 90.00°, β = 90.00°, γ = 120.00°
With the nearest neighbours (Å) after each atom.
Atoms (fractional coordinates):
Si1 0.0000 0.7132 0.2500  7 Zr 2.74-2.86
Si2 0.2868 0.2868 0.2500  7 Zr 2.74-2.86
Si3 0.7132 0.0000 0.2500  7 Zr 2.74-2.86
Si4 0.0000 0.2868 0.7500  7 Zr 2.74-2.86
Si5 0.7132 0.7132 0.7500  7 Zr 2.74-2.86
Si6 0.2868 0.0000 0.7500  7 Zr 2.74-2.86
Si7 0.6667 0.3333 0.0000  2 Si 2.72, 6 Zr 2.92
Si8 0.3333 0.6667 0.5000  2 Si 2.72, 6 Zr 2.92
Si9 0.3333 0.6667 0.0000  2 Si 2.72, 6 Zr 2.92
Si10 0.6667 0.3333 0.5000  2 Si 2.72, 6 Zr 2.92
Zr1 0.0000 0.0000 0.0000  2 Zr 2.72, 6 Si 2.74
Zr2 0.0000 0.0000 0.5000  2 Zr 2.72, 6 Si 2.74
Zr3 0.0000 0.3831 0.2500  9 Si 2.74-2.92
Zr4 0.6169 0.6169 0.2500  9 Si 2.74-2.92
Zr5 0.3831 0.0000 0.2500  9 Si 2.74-2.92
Zr6 0.0000 0.6169 0.7500  9 Si 2.74-2.92
Zr7 0.3831 0.3831 0.7500  9 Si 2.74-2.92
Zr8 0.6169 0.0000 0.7500  9 Si 2.74-2.92

The uncorrected formation energy comes out at -0.50 eV/atom. Its space-group type is P6_3/mcm. The value obtained for the volume is 17.99 Å³/atom. Its total energy is -7.312 eV per atom. The energy above the most stable polymorph in this dataset comes out at 4.97 kJ per mole of atoms.

=====

VASP calculation (PBE-GGA) on a relaxed Zr3Si2 crystal.

a = 5.3595 Å, b = 5.4782 Å, c = 6.9328 Å
α = 105.01°, β = 97.26°, γ = 99.76°
With the nearest neighbours (Å) after each atom.
Atoms (fractional coordinates):
Zr1 0.5709 0.4387 0.7599  6 Si 2.73-2.92
Zr2 0.4291 0.5613 0.2401  6 Si 2.73-2.92
Zr3 0.0000 0.5000 0.5000  2 Zr 2.74, 4 Si 2.82-2.94
Zr4 0.0000 0.0000 0.5000  2 Zr 2.74, 6 Si 2.75-3.01
Zr5 0.7713 0.0819 0.0494  5 Si 2.74-2.91, 2 Zr 2.83-2.85
Zr6 0.2287 0.9181 0.9506  5 Si 2.74-2.91, 2 Zr 2.83-2.85
Si1 0.5078 0.1227 0.3656  1 Si 2.57, 3 Zr 2.74-2.84
Si2 0.4922 0.8773 0.6344  1 Si 2.57, 3 Zr 2.74-2.84
Si3 0.0964 0.3751 0.8678  1 Si 2.44, 1 Zr 2.73
Si4 0.9036 0.6249 0.1322  1 Si 2.44, 1 Zr 2.73

The uncorrected formation energy comes out at -0.67 eV/atom. Its space-group type is P-1. The value obtained for the volume is 19.06 Å³/atom. Its total energy is -7.968 eV per atom.

=====

VASP calculation (PBE-GGA) on a relaxed ZrSi2 crystal.

a = 7.1902 Å, b = 7.1902 Å, c = 3.7206 Å
α = 90.00°, β = 90.00°, γ = 120.00°
With the nearest neighbours (Å) after each atom.
Atoms (fractional coordinates):
Zr1 0.3333 0.6667 0.0000  9 Si 2.67-2.91
Zr2 0.6667 0.3333 0.0000  9 Si 2.67-2.91
Zr3 0.0000 0.0000 0.5000  9 Si 2.67-2.77
Si1 0.2657 0.0000 0.0000  4 Zr 2.67
Si2 0.0000 0.2657 0.0000  4 Zr 2.67
Si3 0.7343 0.7343 0.0000  4 Zr 2.67
Si4 0.6147 0.0000 0.5000  5 Zr 2.77-2.91, 4 Si 3.08
Si5 0.0000 0.6147 0.5000  5 Zr 2.77-2.91, 4 Si 3.08
Si6 0.3853 0.3853 0.5000  5 Zr 2.77-2.91, 4 Si 3.08

The uncorrected formation energy comes out at 0.07 eV/atom. Its space-group type is P-62m. The value obtained for the volume is 18.51 Å³/atom. Its total energy is -6.397 eV per atom.

=====

What is the formula in the eighth record?
ZrSi2